Entry 1:
# Sb2IrOs | Alexandria via LeMat-Bulk | GGA-PBE | relaxed
# Energy   -6.58 eV/atom
# Formation energy without anion corrections   194 kJ/mol of formula units
# Distance to the lowest polymorph of the same formula   270 meV per atom
# Size of the total moment   0.0 μB/f.u.
data_Sb2IrOs
_symmetry_space_group_name_H-M 'C m m m'
_symmetry_Int_Tables_number 65
_symmetry_space_group_name_Hall '-C 2 2'
_cell_length_a 6.314
_cell_length_b 7.067
_cell_length_c 3.244
_cell_angle_alpha 90.00
_cell_angle_beta 90.00
_cell_angle_gamma 90.00
loop_
_atom_site_label
_atom_site_type_symbol
_atom_site_fract_x
_atom_site_fract_y
_atom_site_fract_z
Sb1 Sb 0.250 0.250 0.000
Ir1 Ir 0.000 0.000 0.500
Os1 Os 0.000 0.500 0.500

***

Entry 2:
# LiAlP2 | Alexandria via LeMat-Bulk | GGA-PBE | relaxed
# Energy   -4.20 eV/atom
# Calculated formation energy   -0.0778 eV/atom
# Size of the total moment   0.0 μB/f.u.
data_LiAlP2
_symmetry_space_group_name_H-M 'I m m m'
_symmetry_Int_Tables_number 71
_symmetry_space_group_name_Hall '-I 2 2'
_cell_length_a 3.666
_cell_length_b 4.678
_cell_length_c 7.116
_cell_angle_alpha 90.00
_cell_angle_beta 90.00
_cell_angle_gamma 90.00
loop_
_atom_site_label
_atom_site_type_symbol
_atom_site_fract_x
_atom_site_fract_y
_atom_site_fract_z
Li1 Li 0.000 0.000 0.000
Al1 Al 0.000 0.000 0.500
P1 P 0.000 0.500 0.237

***

Entry 3:
# Sm2Ni7 | Alexandria via LeMat-Bulk | GGA-PBE | relaxed
# Energy   -5.88 eV/atom
# Calculated formation energy   -0.3379 eV/atom
# Size of the total moment   1.4 μB/f.u.
data_Sm2Ni7
_symmetry_space_group_name_H-M 'R -3 m'
_symmetry_Int_Tables_number 166
_symmetry_space_group_name_Hall '-R 3 2"'
_cell_length_a 4.9852
_cell_length_b 4.9852
_cell_length_c 36.4913
_cell_angle_alpha 90.00
_cell_angle_beta 90.00
_cell_angle_gamma 120.00
loop_
_atom_site_label
_atom_site_type_symbol
_atom_site_fract_x
_atom_site_fract_y
_atom_site_fract_z
Sm1 Sm 0.0000 0.0000 0.0506
Sm2 Sm 0.0000 0.0000 0.1469
Ni1 Ni 0.0000 0.0000 0.2785
Ni2 Ni 0.0000 0.0000 0.3878
Ni3 Ni 0.0000 0.0000 0.5000
Ni4 Ni 0.0000 0.5000 0.0000
Ni5 Ni 0.0001 0.5000 0.1089

***

Entry 4:
# KIrW2 | Alexandria via LeMat-Bulk | GGA-PBE | relaxed
# Energy   -7.55 eV/atom
# Calculated formation energy   1.4194 eV/atom
# Distance to the lowest polymorph of the same formula   765 meV per atom
# Size of the total moment   0.0 μB/f.u.
data_KIrW2
_symmetry_space_group_name_H-M 'F -4 3 m'
_symmetry_Int_Tables_number 216
_symmetry_space_group_name_Hall 'F -4 2 3'
_cell_length_a 6.542
_cell_length_b 6.542
_cell_length_c 6.542
_cell_angle_alpha 90.00
_cell_angle_beta 90.00
_cell_angle_gamma 90.00
loop_
_atom_site_label
_atom_site_type_symbol
_atom_site_fract_x
_atom_site_fract_y
_atom_site_fract_z
K1 K 0.000 0.000 0.000
Ir1 Ir 0.250 0.250 0.750
W1 W 0.000 0.000 0.500
W2 W 0.250 0.250 0.250

***

Entry 5:
# CoCuP2 | Alexandria via LeMat-Bulk | GGA-PBE | relaxed
# Energy   -5.35 eV/atom
# Calculated formation energy   0.1593 eV/atom
# Size of the total moment   0.0 μB/f.u.
data_CoCuP2
_symmetry_space_group_name_H-M 'F m -3 m'
_symmetry_Int_Tables_number 225
_symmetry_space_group_name_Hall '-F 4 2 3'
_cell_length_a 5.804
_cell_length_b 5.804
_cell_length_c 5.804
_cell_angle_alpha 90.00
_cell_angle_beta 90.00
_cell_angle_gamma 90.00
loop_
_atom_site_label
_atom_site_type_symbol
_atom_site_fract_x
_atom_site_fract_y
_atom_site_fract_z
Co1 Co 0.000 0.000 0.000
Cu1 Cu 0.000 0.000 0.500
P1 P 0.250 0.250 0.250

***

Question: Number 5 is which compound?
Answer: CoCuP2